1.
DFT (PBE) results for an optimized crystal structure of MgCd2Te.

Geometry as POSCAR:
```
MgCd2Te
1.0
4.087 0.000 0.000
0.000 3.999 0.000
-2.016 0.000 6.555
Mg Cd Te
1 2 1
Direct
0.000 0.000 0.000
0.225 0.000 0.464
0.667 0.500 0.344
0.436 0.500 0.868
```

Calculated values
As for the crystal system: monoclinic. The total energy comes out at -7.39 eV per cell. The value obtained for the density of states at the Fermi level is 0.85 states/eV per cell. As for the space group: Pm. The value obtained for the formation energy from raw total energies is -20 kJ/mol of atoms. The polymorph energy (0 for the lowest one) comes out at 0.002 eV per atom. The calculation puts the size of the total moment at 0.0 μB/f.u.

=====

2.
DFT (PBE) results for an optimized crystal structure of MgCd4Te.

Geometry as POSCAR:
```
MgCd4Te
1.0
0.000 4.218 4.218
4.218 0.000 4.218
4.218 4.218 0.000
Mg Cd Te
1 4 1
Direct
0.000 0.000 0.000
0.375 0.375 0.375
0.375 0.375 0.876
0.375 0.876 0.375
0.876 0.375 0.375
0.750 0.750 0.750
```

Calculated values
As for the crystal system: cubic. The total energy comes out at -7.81 eV per cell. The value obtained for the density of states at the Fermi level is 4.37 states/eV per cell. As for the space group: F-43m. The value obtained for the formation energy from raw total energies is 9 kJ/mol of atoms. The calculation puts the size of the total moment at 0.0 μB/f.u.

=====

3.
DFT (PBE) results for an optimized crystal structure of MgCdTe2.

Geometry as POSCAR:
```
MgCdTe2
1.0
3.708 -2.140 0.000
3.708 2.140 0.000
-2.482 0.000 7.006
Mg Cd Te
1 1 2
Direct
0.000 0.000 0.000
0.500 0.500 0.500
0.251 0.251 0.757
0.749 0.749 0.243
```

Calculated values
As for the crystal system: monoclinic. The total energy comes out at -10.90 eV per cell. The value obtained for the density of states at the Fermi level is 0.40 states/eV per cell. As for the space group: C2/m. The value obtained for the formation energy from raw total energies is -51 kJ/mol of atoms. The calculation puts the size of the total moment at 0.0 μB/f.u.

=====

4.
DFT (PBE) results for an optimized crystal structure of MgCdTe2.

Geometry as POSCAR:
```
MgCdTe2
1.0
-2.112 3.616 4.052
2.112 -3.616 4.052
2.112 3.616 -4.052
Mg Cd Te
1 1 2
Direct
0.000 0.000 0.000
0.500 0.500 0.000
0.244 0.744 0.500
0.756 0.256 0.500
```

Calculated values
As for the crystal system: orthorhombic. The total energy comes out at -9.73 eV per cell. The value obtained for the density of states at the Fermi level is 2.07 states/eV per cell. As for the space group: Immm. The value obtained for the formation energy from raw total energies is -23 kJ/mol of atoms. The calculation puts the size of the total moment at 0.0 μB/f.u.

=====

5.
DFT (PBE) results for an optimized crystal structure of MgCd2Te.

Geometry as POSCAR:
```
MgCd2Te
1.0
0.000 2.934 6.366
2.901 0.000 6.366
2.901 2.934 0.000
Mg Cd Te
1 2 1
Direct
0.000 0.000 0.000
0.000 0.500 0.000
0.500 0.000 0.500
0.500 0.500 0.500
```

Calculated values
As for the crystal system: orthorhombic. The total energy comes out at -7.40 eV per cell. The value obtained for the density of states at the Fermi level is 1.00 states/eV per cell. As for the space group: Fmmm. The value obtained for the formation energy from raw total energies is -20 kJ/mol of atoms. The polymorph energy (0 for the lowest one) comes out at 0.000 eV per atom. The calculation puts the size of the total moment at 0.0 μB/f.u.

=====

6.
DFT (PBE) results for an optimized crystal structure of MgCdTe2.

Geometry as POSCAR:
```
MgCdTe2
1.0
-3.017 3.017 6.111
3.017 -3.017 6.111
3.017 3.017 -6.111
Mg Cd Te
2 2 4
Direct
0.375 0.625 0.750
0.625 0.375 0.250
0.125 0.875 0.250
0.875 0.125 0.750
0.130 0.380 0.750
0.380 0.130 0.250
0.620 0.870 0.750
0.870 0.620 0.250
```

Calculated values
As for the crystal system: tetragonal. The total energy comes out at -21.85 eV per cell. The value obtained for the density of states at the Fermi level is 1.34 states/eV per cell. As for the space group: I4_1/amd. The value obtained for the formation energy from raw total energies is -51 kJ/mol of atoms. The calculation puts the size of the total moment at 0.0 μB/f.u.